No. 1
# PBE CsUTeS, relaxed
data_CsUTeS
_chemical_formula_sum 'Cs3 U3 Te3 S3'
_cell_length_a 4.2569
_cell_length_b 4.2569
_cell_length_c 26.3629
_cell_angle_alpha 90.00
_cell_angle_beta 90.00
_cell_angle_gamma 120.00
_space_group_name_H-M_alt 'R 3 m'
_space_group_IT_number 160
_space_group_name_Hall 'R 3 -2"'
loop_
_atom_site_label
_atom_site_type_symbol
_atom_site_fract_x
_atom_site_fract_y
_atom_site_fract_z
Cs1 Cs 0.0000 0.0000 0.0000
U1 U 0.0000 0.0000 0.1556
Te1 Te 0.0000 0.0000 0.5615
S1 S 0.0000 0.0000 0.7694
# - D(E_F): 15.38 states/eV per cell
# - VASP energy: -70.7 eV per cell

No. 2
# PBE UBeOsRu, relaxed
data_UBeOsRu
_chemical_formula_sum 'U4 Be4 Os4 Ru4'
_cell_length_a 6.3346
_cell_length_b 6.3346
_cell_length_c 6.3346
_cell_angle_alpha 90.00
_cell_angle_beta 90.00
_cell_angle_gamma 90.00
_space_group_name_H-M_alt 'F -4 3 m'
_space_group_IT_number 216
_space_group_name_Hall 'F -4 2 3'
loop_
_atom_site_label
_atom_site_type_symbol
_atom_site_fract_x
_atom_site_fract_y
_atom_site_fract_z
U1 U 0.0000 0.0000 0.0000
Be1 Be 0.0000 0.0000 0.5000
Os1 Os 0.2500 0.2500 0.2500
Ru1 Ru 0.2500 0.2500 0.7500
# - D(E_F): 21.11 states/eV per cell
# - Calculated formation energy: 0.023 eV per atom

No. 3
# PBE AcGaRh, relaxed
data_AcGaRh
_chemical_formula_sum 'Ac4 Ga4 Rh4'
_cell_length_a 7.6852
_cell_length_b 4.8196
_cell_length_c 7.3526
_cell_angle_alpha 90.00
_cell_angle_beta 90.00
_cell_angle_gamma 90.00
_space_group_name_H-M_alt 'P n m a'
_space_group_IT_number 62
loop_
_space_group_symop_operation_xyz
'x,y,z'
'-x,-y,-z'
'-x+1/2,-y,z+1/2'
'x+1/2,y,-z+1/2'
'x+1/2,-y+1/2,-z+1/2'
'-x+1/2,y+1/2,z+1/2'
'-x,y+1/2,-z'
'x,-y+1/2,z'
loop_
_atom_site_label
_atom_site_type_symbol
_atom_site_fract_x
_atom_site_fract_y
_atom_site_fract_z
Ac1 Ac 0.0299 0.2500 0.1878
Ga1 Ga 0.1847 0.2500 0.6060
Rh1 Rh 0.1547 0.7500 0.4279
# - D(E_F): 8.54 states/eV per cell
# - Calculated formation energy: -0.729 eV per atom

No. 4
# PBE LaEu2Cl, relaxed
data_LaEu2Cl
_chemical_formula_sum 'La3 Eu6 Cl3'
_cell_length_a 3.8553
_cell_length_b 3.8553
_cell_length_c 32.0691
_cell_angle_alpha 90.00
_cell_angle_beta 90.00
_cell_angle_gamma 120.00
_space_group_name_H-M_alt 'R -3 m'
_space_group_IT_number 166
_space_group_name_Hall '-R 3 2"'
loop_
_atom_site_label
_atom_site_type_symbol
_atom_site_fract_x
_atom_site_fract_y
_atom_site_fract_z
La1 La 0.0000 0.0000 0.0000
Eu1 Eu 0.0000 0.0000 0.2344
Cl1 Cl 0.0000 0.0000 0.5000
# - D(E_F): 30.92 states/eV per cell
# - VASP energy: -91.7 eV per cell

No. 5
# PBE Ba6H2Au3, relaxed
data_Ba6H2Au3
_chemical_formula_sum 'Ba12 H4 Au6'
_cell_length_a 5.3973
_cell_length_b 5.3973
_cell_length_c 25.8908
_cell_angle_alpha 90.00
_cell_angle_beta 90.00
_cell_angle_gamma 90.00
_space_group_name_H-M_alt 'I 4/m m m'
_space_group_IT_number 139
_space_group_name_Hall '-I 4 2'
loop_
_atom_site_label
_atom_site_type_symbol
_atom_site_fract_x
_atom_site_fract_y
_atom_site_fract_z
Ba1 Ba 0.0000 0.0000 0.2067
Ba2 Ba 0.0000 0.5000 0.0805
H1 H 0.0000 0.0000 0.1017
Au1 Au 0.0000 0.0000 0.3338
Au2 Au 0.0000 0.0000 0.5000
# - D(E_F): 15.32 states/eV per cell
# - VASP energy: -67.0 eV per cell

No. 6
# PBE LuGe2Mo, relaxed
data_LuGe2Mo
_chemical_formula_sum 'Lu3 Ge6 Mo3'
_cell_length_a 3.6384
_cell_length_b 3.6384
_cell_length_c 20.4322
_cell_angle_alpha 90.00
_cell_angle_beta 90.00
_cell_angle_gamma 120.00
_space_group_name_H-M_alt 'R -3 m'
_space_group_IT_number 166
_space_group_name_Hall '-R 3 2"'
loop_
_atom_site_label
_atom_site_type_symbol
_atom_site_fract_x
_atom_site_fract_y
_atom_site_fract_z
Lu1 Lu 0.0000 0.0000 0.0000
Ge1 Ge 0.0000 0.0000 0.2408
Mo1 Mo 0.0000 0.0000 0.5000
# - D(E_F): 4.86 states/eV per cell
# - Calculated formation energy: -0.253 eV per atom

No. 7
# PBE Sb2TeMoAu, relaxed
data_Sb2TeMoAu
_chemical_formula_sum 'Sb2 Te1 Mo1 Au1'
_cell_length_a 5.2550
_cell_length_b 5.2550
_cell_length_c 5.1688
_cell_angle_alpha 90.00
_cell_angle_beta 90.00
_cell_angle_gamma 90.00
_space_group_name_H-M_alt 'P 4/m m m'
_space_group_IT_number 123
_space_group_name_Hall '-P 4 2'
loop_
_atom_site_label
_atom_site_type_symbol
_atom_site_fract_x
_atom_site_fract_y
_atom_site_fract_z
Sb1 Sb 0.0000 0.5000 0.0000
Te1 Te 0.0000 0.0000 0.5000
Mo1 Mo 0.0000 0.0000 0.0000
Au1 Au 0.5000 0.5000 0.5000
# - D(E_F): 2.45 states/eV per cell
# - VASP energy: -22.6 eV per cell

No. 8
# PBE Pr3SmZn4, relaxed
data_Pr3SmZn4
_chemical_formula_sum 'Pr3 Sm1 Zn4'
_cell_length_a 3.6962
_cell_length_b 3.6962
_cell_length_c 14.8002
_cell_angle_alpha 90.00
_cell_angle_beta 90.00
_cell_angle_gamma 90.00
_space_group_name_H-M_alt 'P 4/m m m'
_space_group_IT_number 123
_space_group_name_Hall '-P 4 2'
loop_
_atom_site_label
_atom_site_type_symbol
_atom_site_fract_x
_atom_site_fract_y
_atom_site_fract_z
Pr1 Pr 0.0000 0.0000 0.0000
Pr2 Pr 0.0000 0.0000 0.2531
Sm1 Sm 0.0000 0.0000 0.5000
Zn1 Zn 0.5000 0.5000 0.1253
Zn2 Zn 0.5000 0.5000 0.3817
# - D(E_F): 10.95 states/eV per cell
# - Calculated formation energy: -0.299 eV per atom

No. 9
# PBE LiZnRh2, relaxed
data_LiZnRh2
_chemical_formula_sum 'Li1 Zn1 Rh2'
_cell_length_a 3.0162
_cell_length_b 3.0162
_cell_length_c 5.8139
_cell_angle_alpha 90.00
_cell_angle_beta 90.00
_cell_angle_gamma 90.00
_space_group_name_H-M_alt 'P 4/m m m'
_space_group_IT_number 123
_space_group_name_Hall '-P 4 2'
loop_
_atom_site_label
_atom_site_type_symbol
_atom_site_fract_x
_atom_site_fract_y
_atom_site_fract_z
Li1 Li 0.0000 0.0000 0.0000
Zn1 Zn 0.0000 0.0000 0.5000
Rh1 Rh 0.5000 0.5000 0.2411
# - D(E_F): 6.35 states/eV per cell
# - Calculated formation energy: -0.160 eV per atom

No. 10
# PBE Ce3Th2Sn3, relaxed
data_Ce3Th2Sn3
_chemical_formula_sum 'Ce6 Th4 Sn6'
_cell_length_a 9.4429
_cell_length_b 9.4429
_cell_length_c 6.5140
_cell_angle_alpha 90.00
_cell_angle_beta 90.00
_cell_angle_gamma 120.00
_space_group_name_H-M_alt 'P 63/m c m'
_space_group_IT_number 193
_space_group_name_Hall '-P 6c 2'
loop_
_atom_site_label
_atom_site_type_symbol
_atom_site_fract_x
_atom_site_fract_y
_atom_site_fract_z
Ce1 Ce 0.0000 0.2660 0.2500
Th1 Th 0.3333 0.6667 0.0000
Sn1 Sn 0.0000 0.3788 0.7500
# - D(E_F): 44.35 states/eV per cell
# - Calculated formation energy: -0.469 eV per atom

No. 11
# PBE MnTeRu2, relaxed
data_MnTeRu2
_chemical_formula_sum 'Mn1 Te1 Ru2'
_cell_length_a 4.2512
_cell_length_b 4.2512
_cell_length_c 3.4453
_cell_angle_alpha 90.00
_cell_angle_beta 90.00
_cell_angle_gamma 90.00
_space_group_name_H-M_alt 'P 4/m m m'
_space_group_IT_number 123
_space_group_name_Hall '-P 4 2'
loop_
_atom_site_label
_atom_site_type_symbol
_atom_site_fract_x
_atom_site_fract_y
_atom_site_fract_z
Mn1 Mn 0.0000 0.0000 0.0000
Te1 Te 0.5000 0.5000 0.0000
Ru1 Ru 0.0000 0.5000 0.5000
# - D(E_F): 2.29 states/eV per cell
# - VASP energy: -30.2 eV per cell

No. 12
# PBE RbNbN2, relaxed
data_RbNbN2
_chemical_formula_sum 'Rb4 Nb4 N8'
_cell_length_a 11.4682
_cell_length_b 3.5942
_cell_length_c 6.6385
_cell_angle_alpha 90.00
_cell_angle_beta 99.82
_cell_angle_gamma 90.00
_space_group_name_H-M_alt 'C 1 2/m 1'
_space_group_IT_number 12
loop_
_space_group_symop_operation_xyz
'x,y,z'
'-x,-y,-z'
'-x,y,-z'
'x,-y,z'
'x+1/2,y+1/2,z'
'-x+1/2,-y+1/2,-z'
'-x+1/2,y+1/2,-z'
'x+1/2,-y+1/2,z'
loop_
_atom_site_label
_atom_site_type_symbol
_atom_site_fract_x
_atom_site_fract_y
_atom_site_fract_z
Rb1 Rb 0.1326 0.0000 0.0449
Nb1 Nb 0.1302 0.5000 0.5329
N1 N 0.0031 0.5000 0.2981
N2 N 0.2058 0.0000 0.6353
# - VASP energy: -120.6 eV per cell